Record 1
Density functional theory data (PBE-GGA) for Sr4MnP after structural relaxation.

Cell: 6.892 6.892 6.892 Å, 60.00 60.00 60.00°
Site moments in Bohr magnetons follow the coordinates.
Fractional positions:
Sr 0.375 0.375 0.375  -0.09
Sr 0.876 0.375 0.375  -0.09
Sr 0.375 0.876 0.375  -0.09
Sr 0.375 0.375 0.876  -0.09
Mn 0.750 0.750 0.750  4.23
P 0.000 0.000 0.000  0.02

Computed properties:
calculated formation energy = 4.9 eV/f.u.
total moment = 3.22 μB/f.u.
space group = F-43m (216)
E_tot = -16.44 eV for the cell shown

Record 2
Density functional theory data (PBE-GGA) for CrFeAu2 after structural relaxation.

Cell: 8.948 8.948 8.948 Å, 18.42 18.42 18.42°
Site moments in Bohr magnetons follow the coordinates.
Fractional positions:
Fe 0.757 0.757 0.757  2.38
Au 0.244 0.244 0.244  -0.02
Au 0.007 0.007 0.007  0.02
Cr 0.492 0.492 0.492  -2.55

Computed properties:
calculated formation energy = 1.1 eV/f.u.
total moment = 0.35 μB/f.u.
space group = R3m (160)
E_tot = -23.51 eV for the cell shown

Record 3
Density functional theory data (PBE-GGA) for RbIn4Au9 after structural relaxation.

Cell: 9.690 9.690 9.544 Å, 120.51 120.51 90.00°
Fractional positions:
Au 0.500 0.000 0.000
Au 0.800 0.300 0.365
Au 0.700 0.435 0.635
Au 0.202 0.958 0.000
Au 0.200 0.700 0.635
Au 0.458 0.702 0.000
Au 0.042 0.202 0.000
Au 0.435 0.935 0.635
Au 0.298 0.458 0.000
Au 0.542 0.298 0.000
Au 0.958 0.798 0.000
Au 0.065 0.800 0.365
Au 0.565 0.065 0.365
Au 0.798 0.042 0.000
Au 0.702 0.542 0.000
Au 0.300 0.565 0.365
Au 0.000 0.500 0.000
Au 0.935 0.200 0.635
Rb 0.750 0.750 0.500
Rb 0.250 0.250 0.500
In 0.309 0.809 0.241
In 0.932 0.432 0.241
In 0.568 0.691 0.759
In 0.691 0.191 0.759
In 0.068 0.568 0.759
In 0.809 0.932 0.241
In 0.191 0.068 0.759
In 0.432 0.309 0.241

Computed properties:
calculated formation energy = -2.7 eV/f.u.
total moment = 0.00 μB/f.u.
space group = I4/mcm (140)
E_tot = -88.31 eV for the cell shown

Record 4
Density functional theory data (PBE-GGA) for Li3BrF3 after structural relaxation.

Cell: 5.482 5.482 9.373 Å, 73.00 73.00 60.00°
Fractional positions:
Li 0.795 0.464 0.613
Li 0.464 0.129 0.613
Li 0.871 0.205 0.387
Li 0.129 0.795 0.613
Li 0.536 0.871 0.387
Li 0.205 0.536 0.387
F 0.793 0.126 0.623
F 0.207 0.874 0.377
F 0.874 0.543 0.377
F 0.126 0.457 0.623
F 0.543 0.207 0.377
F 0.457 0.793 0.623
Br 0.333 0.333 0.000
Br 0.667 0.667 0.000

Computed properties:
formation energy (no corrections) = -2.3781 eV per atom
total moment = 0.00 μB/f.u.
space group = R-3 (148)
E_tot = -59.35 eV for the cell shown

Record 5
Density functional theory data (PBE-GGA) for Mn2FeBr after structural relaxation.

Cell: 3.162 3.162 6.619 Å, 90.00 90.00 90.00°
Site moments in Bohr magnetons follow the coordinates.
Fractional positions:
Fe 0.500 0.500 0.750  2.54
Mn 0.000 0.000 0.545  3.66
Mn 0.000 0.000 0.955  3.66
Br 0.500 0.500 0.250  0.08

Computed properties:
formation energy (no corrections) = 0.4031 eV per atom
total moment = 10.28 μB/f.u.
space group = P4/mmm (123)
E_tot = -26.86 eV for the cell shown

Record 6
Density functional theory data (PBE-GGA) for Ti4CuRu after structural relaxation.

Cell: 3.034 3.034 10.103 Å, 90.00 90.00 90.00°
Fractional positions:
Ti 0.500 0.500 0.835
Ti 0.000 0.000 0.346
Ti 0.000 0.000 0.654
Ti 0.500 0.500 0.165
Cu 0.000 0.000 0.000
Ru 0.500 0.500 0.500

Computed properties:
calculated formation energy = -1.8 eV/f.u.
total moment = 0.00 μB/f.u.
space group = P4/mmm (123)
E_tot = -46.77 eV for the cell shown